# 1
# Ac2La2Sm

Ac2La2Sm after structural relaxation (GGA-PBE, Alexandria via LeMat-Bulk).

Computed properties:
The value obtained for the magnetization is 0.000 μB/f.u. The raw total energy comes out at -0.30564 Ry/atom. Its formation energy is 0.400 eV/atom. The polymorph energy (0 for the lowest one) is 356 meV per atom.

a = 9.0214 Å, b = 9.0214 Å, c = 9.0214 Å
α = 147.72°, β = 147.72°, γ = 46.31°
Sites, in units of the cell vectors:
Ac: 0.2500 0.7500 0.5000
Ac: 0.7500 0.2500 0.5000
La: 0.0914 0.0914 0.0000
La: 0.9086 0.9086 0.0000
Sm: 0.5000 0.5000 0.0000



# 2
# Ac2La7Sm

Ac2La7Sm after structural relaxation (GGA-PBE, Alexandria via LeMat-Bulk).

Computed properties:
The value obtained for the magnetization is 0.000 μB/f.u. The raw total energy comes out at -0.32137 Ry/atom. Its formation energy is 0.370 eV/atom. The polymorph energy (0 for the lowest one) is 242 meV per atom.

a = 10.8651 Å, b = 10.8651 Å, c = 3.6439 Å
α = 90.00°, β = 90.00°, γ = 109.33°
Sites, in units of the cell vectors:
Ac: 0.1732 0.8268 0.0000
Ac: 0.8268 0.1732 0.0000
La: 0.1375 0.3836 0.0000
La: 0.3347 0.6653 0.5000
La: 0.3836 0.1375 0.0000
La: 0.5000 0.5000 0.0000
La: 0.6164 0.8625 0.0000
La: 0.6653 0.3347 0.5000
La: 0.8625 0.6164 0.0000
Sm: 0.0000 0.0000 0.5000



# 3
# Ac6LaSm

Ac6LaSm after structural relaxation (GGA-PBE, Alexandria via LeMat-Bulk).

Computed properties:
The value obtained for the magnetization is 0.000 μB/f.u. The raw total energy comes out at -0.31350 Ry/atom. Its formation energy is 0.022 eV/atom. The polymorph energy (0 for the lowest one) is 0 meV per atom.

a = 5.5372 Å, b = 5.5372 Å, c = 11.0781 Å
α = 90.00°, β = 90.00°, γ = 90.00°
Sites, in units of the cell vectors:
Ac: 0.0000 0.0000 0.0000
Ac: 0.0000 0.0000 0.5000
Ac: 0.0000 0.5000 0.2481
Ac: 0.0000 0.5000 0.7519
Ac: 0.5000 0.0000 0.2481
Ac: 0.5000 0.0000 0.7519
La: 0.5000 0.5000 0.5000
Sm: 0.5000 0.5000 0.0000



> The highest raw total energy belongs to which entry?

Ac2La2Sm